Record 1
Below is SmGdMgOs after structural relaxation, with properties calculated at the GGA-PBE level. Values from VASP.

Calculated values
The density of states at the Fermi level is 3.164 states/eV per cell. As for the formation energy: -70 meV/atom. As for the symmetry: No. 216.

Structure (Quantum ESPRESSO input):
```
&SYSTEM
  ibrav = 0, nat = 4, ntyp = 4
/
ATOMIC_SPECIES
Sm 150.36 Sm.upf
Gd 157.25 Gd.upf
Mg 24.30 Mg.upf
Os 190.23 Os.upf
CELL_PARAMETERS angstrom
0.000 3.583 3.583
3.583 0.000 3.583
3.583 3.583 0.000
ATOMIC_POSITIONS crystal
Sm 0.000 0.000 0.000
Gd 0.500 0.500 0.500
Mg 0.750 0.750 0.750
Os 0.250 0.250 0.250
```

Record 2
Below is Zr6Tl2NO after structural relaxation, with properties calculated at the GGA-PBE level. Values from VASP.

Calculated values
The density of states at the Fermi level is 9.399 states/eV per cell. As for the symmetry: No. 139. The formation energy (no corrections) comes out at -0.87 eV/atom.

Structure (Quantum ESPRESSO input):
```
&SYSTEM
  ibrav = 0, nat = 10, ntyp = 4
/
ATOMIC_SPECIES
Zr 91.22 Zr.upf
Tl 204.38 Tl.upf
N 14.01 N.upf
O 16.00 O.upf
CELL_PARAMETERS angstrom
-3.153 3.153 4.715
3.153 -3.153 4.715
3.153 3.153 -4.715
ATOMIC_POSITIONS crystal
Zr 0.248 0.248 0.000
Zr 0.248 0.248 0.496
Zr 0.248 0.752 0.000
Zr 0.752 0.248 0.000
Zr 0.752 0.752 0.000
Zr 0.752 0.752 0.504
Tl 0.250 0.750 0.500
Tl 0.750 0.250 0.500
N 0.000 0.000 0.000
O 0.500 0.500 0.000
```

Record 3
Below is PuHfSc2P4 after structural relaxation, with properties calculated at the GGA-PBE level. Values from VASP.

Calculated values
The density of states at the Fermi level is 10.524 states/eV per cell. As for the formation energy: -1368 meV/atom. As for the symmetry: No. 10.

Structure (Quantum ESPRESSO input):
```
&SYSTEM
  ibrav = 0, nat = 8, ntyp = 4
/
ATOMIC_SPECIES
Pu 244.00 Pu.upf
Hf 178.49 Hf.upf
Sc 44.96 Sc.upf
P 30.97 P.upf
CELL_PARAMETERS angstrom
6.542 0.000 0.000
0.000 3.804 0.000
-2.180 0.000 6.206
ATOMIC_POSITIONS crystal
Pu 0.000 0.000 0.000
Hf 0.000 0.500 0.500
Sc 0.500 0.000 0.500
Sc 0.500 0.500 0.000
P 0.251 0.000 0.743
P 0.256 0.500 0.260
P 0.744 0.500 0.740
P 0.749 0.000 0.257
```

Record 4
Below is Th3CoNi after structural relaxation, with properties calculated at the GGA-PBE level. Values from VASP.

Calculated values
The density of states at the Fermi level is 10.687 states/eV per cell. The energy relative to the lowest polymorph listed for this composition is 117 meV/atom. As for the formation energy: -151 meV/atom. As for the symmetry: No. 148.

Structure (Quantum ESPRESSO input):
```
&SYSTEM
  ibrav = 0, nat = 10, ntyp = 3
/
ATOMIC_SPECIES
Th 232.04 Th.upf
Co 58.93 Co.upf
Ni 58.69 Ni.upf
CELL_PARAMETERS angstrom
3.471 2.004 6.296
-3.471 2.004 6.296
0.000 -4.008 6.296
ATOMIC_POSITIONS crystal
Th 0.045 0.427 0.773
Th 0.227 0.955 0.573
Th 0.427 0.773 0.045
Th 0.573 0.227 0.955
Th 0.773 0.045 0.427
Th 0.955 0.573 0.227
Co 0.161 0.161 0.161
Co 0.839 0.839 0.839
Ni 0.356 0.356 0.356
Ni 0.644 0.644 0.644
```

Record 5
Below is MgReHg2 after structural relaxation, with properties calculated at the GGA-PBE level. Values from VASP.

Calculated values
The density of states at the Fermi level is 4.139 states/eV per cell. As for the formation energy: 635 meV/atom. As for the symmetry: No. 119.

Structure (Quantum ESPRESSO input):
```
&SYSTEM
  ibrav = 0, nat = 4, ntyp = 3
/
ATOMIC_SPECIES
Mg 24.30 Mg.upf
Re 186.21 Re.upf
Hg 200.59 Hg.upf
CELL_PARAMETERS angstrom
-2.024 2.024 4.587
2.024 -2.024 4.587
2.024 2.024 -4.587
ATOMIC_POSITIONS crystal
Mg 0.000 0.000 0.000
Re 0.250 0.750 0.500
Hg 0.500 0.500 0.000
Hg 0.750 0.250 0.500
```

Record 6
Below is Mn2CdCo after structural relaxation, with properties calculated at the GGA-PBE level. Values from VASP.

Calculated values
The density of states at the Fermi level is 3.502 states/eV per cell. As for the formation energy: 306 meV/atom. As for the symmetry: No. 160.

Structure (Quantum ESPRESSO input):
```
&SYSTEM
  ibrav = 0, nat = 4, ntyp = 3
/
ATOMIC_SPECIES
Mn 54.94 Mn.upf
Cd 112.41 Cd.upf
Co 58.93 Co.upf
CELL_PARAMETERS angstrom
1.388 0.801 8.537
-1.388 0.801 8.537
0.000 -1.603 8.537
ATOMIC_POSITIONS crystal
Mn 0.000 0.000 0.000
Mn 0.258 0.258 0.258
Cd 0.496 0.496 0.496
Co 0.738 0.738 0.738
```

Record 7
Below is FeCo2Mo after structural relaxation, with properties calculated at the GGA-PBE level. Values from VASP.

Calculated values
The density of states at the Fermi level is 4.457 states/eV per cell. The energy relative to the lowest polymorph listed for this composition is 187 meV/atom. As for the formation energy: 203 meV/atom. As for the symmetry: No. 160.

Structure (Quantum ESPRESSO input):
```
&SYSTEM
  ibrav = 0, nat = 4, ntyp = 3
/
ATOMIC_SPECIES
Fe 55.84 Fe.upf
Co 58.93 Co.upf
Mo 95.94 Mo.upf
CELL_PARAMETERS angstrom
1.304 0.753 8.474
-1.304 0.753 8.474
0.000 -1.506 8.474
ATOMIC_POSITIONS crystal
Fe 0.000 0.000 0.000
Co 0.255 0.255 0.255
Co 0.511 0.511 0.511
Mo 0.757 0.757 0.757
```

Record 8
Below is Ba2Se2O after structural relaxation, with properties calculated at the GGA-PBE level. Values from VASP.

Calculated values
The density of states at the Fermi level is 0.838 states/eV per cell. The energy relative to the lowest polymorph listed for this composition is 288 meV/atom. As for the symmetry: No. 139. The formation energy (no corrections) comes out at -1.24 eV/atom.

Structure (Quantum ESPRESSO input):
```
&SYSTEM
  ibrav = 0, nat = 5, ntyp = 3
/
ATOMIC_SPECIES
Ba 137.33 Ba.upf
Se 78.96 Se.upf
O 16.00 O.upf
CELL_PARAMETERS angstrom
-2.032 2.032 8.356
2.032 -2.032 8.356
2.032 2.032 -8.356
ATOMIC_POSITIONS crystal
Ba 0.099 0.099 0.000
Ba 0.901 0.901 0.000
Se 0.250 0.750 0.500
Se 0.750 0.250 0.500
O 0.500 0.500 0.000
```

Record 9
Below is Li2Ag3Br2F4 after structural relaxation, with properties calculated at the GGA-PBE level. Values from VASP.

Calculated values
The density of states at the Fermi level is 8.397 states/eV per cell. As for the symmetry: No. 139. The formation energy (no corrections) comes out at -1.40 eV/atom.

Structure (Quantum ESPRESSO input):
```
&SYSTEM
  ibrav = 0, nat = 11, ntyp = 4
/
ATOMIC_SPECIES
Li 6.94 Li.upf
Ag 107.87 Ag.upf
Br 79.90 Br.upf
F 19.00 F.upf
CELL_PARAMETERS angstrom
-1.932 1.932 12.172
1.932 -1.932 12.172
1.932 1.932 -12.172
ATOMIC_POSITIONS crystal
Li 0.071 0.071 0.000
Li 0.929 0.929 0.000
Ag 0.350 0.350 0.000
Ag 0.500 0.500 0.000
Ag 0.650 0.650 0.000
Br 0.182 0.182 0.000
Br 0.818 0.818 0.000
F 0.063 0.563 0.500
F 0.437 0.937 0.500
F 0.563 0.063 0.500
F 0.937 0.437 0.500
```

Record 10
Below is HfSb2TeC after structural relaxation, with properties calculated at the GGA-PBE level. Values from VASP.

Calculated values
The density of states at the Fermi level is 6.017 states/eV per cell. The energy relative to the lowest polymorph listed for this composition is 706 meV/atom. As for the symmetry: No. 123. The formation energy (no corrections) comes out at 1.51 eV/atom.

Structure (Quantum ESPRESSO input):
```
&SYSTEM
  ibrav = 0, nat = 5, ntyp = 4
/
ATOMIC_SPECIES
Hf 178.49 Hf.upf
Sb 121.76 Sb.upf
Te 127.60 Te.upf
C 12.01 C.upf
CELL_PARAMETERS angstrom
5.518 0.000 0.000
0.000 5.518 0.000
0.000 0.000 5.462
ATOMIC_POSITIONS crystal
Hf 0.000 0.000 0.000
Sb 0.000 0.500 0.000
Sb 0.500 0.000 0.000
Te 0.000 0.000 0.500
C 0.500 0.500 0.500
```

Record 11
Below is Ac2TbAl4Pt3 after structural relaxation, with properties calculated at the GGA-PBE level. Values from VASP.

Calculated values
The density of states at the Fermi level is 9.733 states/eV per cell. As for the formation energy: -869 meV/atom. As for the symmetry: No. 115.

Structure (Quantum ESPRESSO input):
```
&SYSTEM
  ibrav = 0, nat = 10, ntyp = 4
/
ATOMIC_SPECIES
Ac 227.00 Ac.upf
Tb 158.93 Tb.upf
Al 26.98 Al.upf
Pt 195.08 Pt.upf
CELL_PARAMETERS angstrom
4.393 0.000 0.000
0.000 4.393 0.000
0.000 0.000 11.665
ATOMIC_POSITIONS crystal
Ac 0.000 0.500 0.229
Ac 0.500 0.000 0.771
Tb 0.000 0.000 0.500
Al 0.000 0.000 0.000
Al 0.000 0.500 0.665
Al 0.500 0.000 0.335
Al 0.500 0.500 0.000
Pt 0.000 0.500 0.882
Pt 0.500 0.000 0.118
Pt 0.500 0.500 0.500
```

Record 12
Below is ReAg2Os after structural relaxation, with properties calculated at the GGA-PBE level. Values from VASP.

Calculated values
The density of states at the Fermi level is 3.069 states/eV per cell. The energy relative to the lowest polymorph listed for this composition is 192 meV/atom. As for the formation energy: 471 meV/atom. As for the symmetry: No. 6.

Structure (Quantum ESPRESSO input):
```
&SYSTEM
  ibrav = 0, nat = 4, ntyp = 3
/
ATOMIC_SPECIES
Re 186.21 Re.upf
Ag 107.87 Ag.upf
Os 190.23 Os.upf
CELL_PARAMETERS angstrom
2.785 0.000 0.000
0.000 3.939 0.000
0.000 0.000 5.922
ATOMIC_POSITIONS crystal
Re 0.000 0.000 0.000
Ag 0.009 0.000 0.531
Ag 0.506 0.500 0.292
Os 0.517 0.500 0.824
```